1.
The following is a PBE-GGA calculation of an optimized crystal structure of Ba2CaMgS, from Alexandria.

```
Ba2CaMgS
1.0
6.259 0.000 0.000
0.000 6.259 0.000
0.000 0.000 5.375
Ba Ca Mg S
2 1 1 1
direct
0.000 0.500 0.000
0.500 0.000 0.000
0.000 0.000 0.500
0.500 0.500 0.500
0.000 0.000 0.000
```

Results
- total DFT energy (no corrections) (eV per atom) = -3.0582
- symmetry = P4/mmm
- formation energy without anion corrections (meV per atom) = -744



2.
The following is a PBE-GGA calculation of an optimized crystal structure of LaPr2Nd5Y, from Alexandria.

```
LaPr2Nd5Y
1.0
-4.492 4.492 8.000
4.492 -4.492 8.000
4.492 4.492 -8.000
La Pr Nd Y
2 4 10 2
direct
0.250 0.250 0.000
0.750 0.750 0.000
0.118 0.618 0.735
0.382 0.118 0.500
0.618 0.882 0.500
0.882 0.382 0.265
0.000 0.000 0.000
0.072 0.151 0.500
0.151 0.651 0.079
0.349 0.428 0.500
0.428 0.928 0.079
0.500 0.500 0.000
0.572 0.072 0.921
0.651 0.572 0.500
0.849 0.349 0.921
0.928 0.849 0.500
0.250 0.750 0.500
0.750 0.250 0.500
```

Results
- total DFT energy (no corrections) (eV per atom) = -4.7202
- symmetry = I4/mcm



3.
The following is a PBE-GGA calculation of an optimized crystal structure of BaZn2HCl, from Alexandria.

```
BaZn2HCl
1.0
4.280 0.000 0.000
0.000 4.280 0.000
0.000 0.000 6.132
Ba Zn H Cl
1 2 1 1
direct
0.000 0.000 0.000
0.000 0.500 0.500
0.500 0.000 0.500
0.500 0.500 0.500
0.500 0.500 0.000
```

Results
- total DFT energy (no corrections) (eV per atom) = -2.3473
- symmetry = P4/mmm



4.
The following is a PBE-GGA calculation of an optimized crystal structure of YMgC, from Alexandria.

```
YMgC
1.0
1.861 1.074 9.250
-1.861 1.074 9.250
0.000 -2.148 9.250
Y Mg C
2 2 2
direct
0.107 0.107 0.107
0.893 0.893 0.893
0.364 0.364 0.364
0.636 0.636 0.636
0.273 0.273 0.273
0.727 0.727 0.727
```

Results
- total DFT energy (no corrections) (eV per atom) = -5.7888
- symmetry = R-3m